Entry from Alexandria: an optimized crystal structure of PrH4Ru (PBE).

a b c (Å): 6.3646 6.3646 4.9886
angles (deg): 90.00 90.00 143.95
Fractional coordinates of all 12 atoms:
1 Pr 0.1289 0.8711 0.7500
2 Pr 0.8711 0.1289 0.2500
3 H 0.0962 0.9038 0.2500
4 H 0.3043 0.6957 0.5060
5 H 0.3043 0.6957 0.9940
6 H 0.5000 0.5000 0.0000
7 H 0.5000 0.5000 0.5000
8 H 0.6957 0.3043 0.0060
9 H 0.6957 0.3043 0.4940
10 H 0.9038 0.0962 0.7500
11 Ru 0.4012 0.5988 0.7500
12 Ru 0.5988 0.4012 0.2500

SG	Cmcm, No. 63
excess energy over the best structure of this formula in the dataset	0.0000	eV/atom
ρ	6.87	g cm⁻³